Version one
VASP calculation (PBE) on Cd2FeAu after structural relaxation.

Summary:
The size of the total moment is 11.815 μB per cell. The calculation puts the volume at 18.07 A^3/atom.

Lattice parameters (Å, degrees): 6.6121 6.6121 6.6121 90.00 90.00 90.00
Space group F-43m (No. 216)
Symmetry-distinct sites (fractional):
Cd: 0.0000 0.0000 0.0000 x4
Cd: 0.2500 0.2500 0.2500 x4
Fe: 0.2500 0.2500 0.7500 x4
Au: 0.0000 0.0000 0.5000 x4

Version two
VASP calculation (PBE) on Cd2FeAu after structural relaxation.

Summary:
The size of the total moment is 5.341 μB per cell. The calculation puts the volume at 18.32 A^3/atom.

Lattice parameters (Å, degrees): 2.9918 4.8832 10.0343 90.00 90.00 90.00
Space group Imm2 (No. 44)
Symmetry-distinct sites (fractional):
Cd: 0.0000 0.0000 0.0000 x2
Cd: 0.0000 0.5000 0.2188 x2
Fe: 0.0000 0.5000 0.7348 x2
Au: 0.0000 0.0000 0.4541 x2

What is the stability order? It is version two, version one, from most stable to least stable.